Entry 1:
Compound: Cs3Tm2CrSe6
Source: Alexandria via LeMat-Bulk
Functional: PBE-GGA
Structure: relaxed

Computed properties:
Uncorrected energy in eV/atom: -4.862
Calculated density in g/cm3: 5.73
Total magnetization in μB per atom: 0.2493
Space group: C2/m, No. 12

Lattice parameters (Å, degrees): 7.1350 7.1350 8.6352 97.94 97.94 120.02
Fractional coordinates of all 12 atoms:
Cs: 0.1713 0.8287 0.5000
Cs: 0.8287 0.1713 0.5000
Cs: 0.5000 0.5000 0.5000
Tm: 0.3337 0.6663 0.0000
Tm: 0.6663 0.3337 0.0000
Cr: 0.0000 0.0000 0.0000
Se: 0.9413 0.6294 0.8240
Se: 0.7475 0.7475 0.1783
Se: 0.0587 0.3706 0.1760
Se: 0.6294 0.9413 0.8240
Se: 0.2525 0.2525 0.8217
Se: 0.3706 0.0587 0.1760

***

Entry 2:
Compound: CaSmIn
Source: Alexandria via LeMat-Bulk
Functional: PBE-GGA
Structure: relaxed

Computed properties:
E_form in meV per atom: -265
Uncorrected energy in eV/atom: -3.418
Calculated density in g/cm3: 5.08
Density of states at the Fermi level in states/eV/f.u.: 3.02
Energy above the lowest structure with this stoichiometry in meV per atom: 147
Total magnetization in μB per atom: 0.0000
Space group: P4/nmm, No. 129

Lattice parameters (Å, degrees): 4.8652 4.8652 8.4259 90.00 90.00 90.00
Fractional coordinates of all 6 atoms:
In: 0.5000 0.0000 0.7542
In: 0.0000 0.5000 0.2458
Ca: 0.5000 0.0000 0.1408
Ca: 0.0000 0.5000 0.8592
Sm: 0.5000 0.5000 0.5000
Sm: 0.0000 0.0000 0.5000

***

Entry 3:
Compound: Sr2NpWN5
Source: Alexandria via LeMat-Bulk
Functional: PBE-GGA
Structure: relaxed

Computed properties:
Uncorrected energy in eV/atom: -8.808
Calculated density in g/cm3: 7.83
Density of states at the Fermi level in states/eV/f.u.: 5.98
Total magnetization in μB per atom: 0.0000
Space group: Cmc2_1, No. 36

Lattice parameters (Å, degrees): 3.4688 7.5090 11.1428 90.00 90.00 103.35
Fractional coordinates of all 18 atoms:
Sr: 0.8625 0.7249 0.7848
Sr: 0.1128 0.2256 0.7057
Sr: 0.1375 0.2751 0.2848
Sr: 0.8872 0.7744 0.2057
Np: 0.7847 0.5694 0.5076
Np: 0.2153 0.4306 0.0076
W: 0.5048 0.0095 0.9671
W: 0.4952 0.9905 0.4671
N: 0.3817 0.7635 0.0092
N: 0.7042 0.4084 0.8913
N: 0.4984 0.9967 0.8035
N: 0.2822 0.5644 0.6274
N: 0.9497 0.8994 0.5274
N: 0.6183 0.2365 0.5092
N: 0.2958 0.5917 0.3913
N: 0.5016 0.0033 0.3035
N: 0.7178 0.4356 0.1274
N: 0.0503 0.1006 0.0273

***

Entry 4:
Compound: BaReBr
Source: Alexandria via LeMat-Bulk
Functional: PBE-GGA
Structure: relaxed

Computed properties:
Uncorrected energy in eV/atom: -4.245
Calculated density in g/cm3: 5.42
Density of states at the Fermi level in states/eV/f.u.: 5.19
Energy above the lowest structure with this stoichiometry in meV per atom: 222
Total magnetization in μB per atom: 1.3333
Space group: F-43m, No. 216

Lattice parameters (Å, degrees): 5.5916 5.5916 5.5916 60.00 60.00 60.00
Fractional coordinates of all 3 atoms:
Re: 0.5000 0.5000 0.5000
Ba: 0.2500 0.2500 0.2500
Br: 0.0000 0.0000 0.0000

***

Entry 5:
Compound: Ca3SbF
Source: Alexandria via LeMat-Bulk
Functional: PBE-GGA
Structure: relaxed

Computed properties:
Uncorrected energy in eV/atom: -3.970
Calculated density in g/cm3: 2.77
Density of states at the Fermi level in states/eV/f.u.: 1.32
Energy above the lowest structure with this stoichiometry in meV per atom: 0
Total magnetization in μB per atom: 0.0000
Space group: P-1, No. 2

Lattice parameters (Å, degrees): 4.3819 9.3382 8.9164 103.66 74.20 115.71
Fractional coordinates of all 10 atoms:
Ca: 0.0407 0.3931 0.6412
Ca: 0.6610 0.2435 0.0443
Ca: 0.8321 0.9722 0.2947
Ca: 0.9593 0.6069 0.3588
Ca: 0.1679 0.0278 0.7053
Ca: 0.3390 0.7565 0.9557
Sb: 0.4775 0.7606 0.5872
Sb: 0.5225 0.2394 0.4128
F: 0.7566 0.1822 0.7816
F: 0.2434 0.8178 0.2184

***

Entry 6:
Compound: TiGaCu
Source: Alexandria via LeMat-Bulk
Functional: PBE-GGA
Structure: relaxed

Computed properties:
E_form in meV per atom: -224
Uncorrected energy in eV/atom: -5.230
Calculated density in g/cm3: 6.82
Density of states at the Fermi level in states/eV/f.u.: 2.50
Total magnetization in μB per atom: 0.0000
Space group: P1, No. 1

Lattice parameters (Å, degrees): 2.7288 4.7225 6.8939 96.70 90.02 89.99
Fractional coordinates of all 6 atoms:
Ga: 0.3711 0.4866 0.3565
Ga: 0.3711 0.0452 0.7725
Cu: 0.8675 0.2633 0.0649
Cu: 0.3681 0.7634 0.0638
Ti: 0.8717 0.5380 0.7100
Ti: 0.8717 0.9937 0.4190